Record 1
{"formula": "Cr2CBr", "functional": "PBE", "state": "optimized geometry", "dft_energy_ev_per_cell": -25.11, "space_group": "Fm-3m", "m_tot_mub_per_fu": 2.99, "n_ef_per_ev_atom": 0.5477, "e_form_raw_ev_per_atom": 1.259, "lattice_angstrom": [[0.000, 2.865, 2.865], [2.865, 0.000, 2.865], [2.865, 2.865, 0.000]], "species": ["C", "Br", "Cr", "Cr"], "frac_coords": [[0.000, 0.000, 0.000], [0.500, 0.500, 0.500], [0.750, 0.750, 0.750], [0.250, 0.250, 0.250]]}

Record 2
{"formula": "Cr2CBr", "functional": "PBE", "state": "optimized geometry", "dft_energy_ev_per_cell": -57.04, "space_group": "I-42d", "m_tot_mub_per_fu": 7.00, "n_ef_per_ev_atom": 0.0813, "e_form_raw_ev_per_atom": 0.406, "lattice_angstrom": [[5.474, 0.000, 0.000], [0.000, 5.474, 0.000], [2.737, 2.737, 4.832]], "species": ["Cr", "Cr", "C", "Br", "Cr", "Cr", "C", "Br"], "frac_coords": [[0.235, 0.625, 0.250], [0.875, 0.765, 0.750], [0.250, 0.750, 0.500], [0.000, 0.000, 0.000], [0.375, 0.485, 0.750], [0.515, 0.125, 0.250], [0.500, 0.500, 0.000], [0.750, 0.250, 0.500]]}

Record 3
{"formula": "CrFeCBr2", "functional": "PBE", "state": "optimized geometry", "dft_energy_ev_per_cell": -20.51, "space_group": "P4/mmm", "m_tot_mub_per_fu": 5.71, "n_ef_per_ev_atom": 1.6439, "e_form_raw_ev_per_atom": 2.028, "lattice_angstrom": [[4.724, 0.000, 0.000], [0.000, 4.369, 0.000], [0.000, 0.000, 4.724]], "species": ["C", "Cr", "Br", "Br", "Fe"], "frac_coords": [[0.500, 0.500, 0.500], [0.000, 0.000, 0.000], [0.000, 0.000, 0.500], [0.500, 0.000, 0.000], [0.000, 0.500, 0.000]]}